# Mn2FeO6

Mn2FeO6 after structural relaxation (PBE with a Hubbard U, the Alexandria database).

Calculated values
The value obtained for the energy is -6.682 eV/atom. The space-group type is No. 12.

Cell lengths 3.666, 5.069, 6.120 Å; angles 68.66, 72.57, 68.80 degrees
Each line ends with the local moment (μB).
Fractional coordinates of all 9 atoms:
1 O 0.980 0.334 0.707  -0.06
2 O 0.020 0.666 0.293  -0.06
3 O 0.358 0.191 0.092  -0.19
4 O 0.642 0.809 0.908  -0.19
5 O 0.287 0.835 0.592  -0.10
6 O 0.713 0.165 0.408  -0.10
7 Mn 0.824 0.749 0.604  3.15
8 Mn 0.176 0.251 0.396  3.15
9 Fe 0.000 0.000 0.000  4.33